Entry 1:
DFT (PBE-GGA) results for a geometry-optimized LaSm2Si2Ge2Pd4 structure.

Calculated values
**E_tot**: -5.958 eV per atom

abc: 4.160 4.355 24.722
angles: 90.00 90.00 90.00
Space group Immm (No. 71)
One atom of each set of equivalent atoms:
La: 0.000 0.000 0.000
Sm: 0.000 0.500 0.149
Si: 0.000 0.500 0.302
Ge: 0.000 0.000 0.449
Pd: 0.000 0.000 0.249
Pd: 0.000 0.500 0.399

=====

Entry 2:
DFT (PBE-GGA) results for a geometry-optimized LiLaFeW structure.

Calculated values
**Energy above the lowest structure with this stoichiometry**: 0 meV per atom

abc: 6.451 6.451 6.451
angles: 90.00 90.00 90.00
Space group F-43m (No. 216)
One atom of each set of equivalent atoms:
Li: 0.000 0.000 0.000
La: 0.250 0.250 0.250
Fe: 0.250 0.250 0.750
W: 0.000 0.000 0.500

=====

Entry 3:
DFT (PBE-GGA) results for a geometry-optimized HW2 structure.

Calculated values
**Energy above the lowest structure with this stoichiometry**: 0 meV per atom

abc: 7.389 7.389 7.389
angles: 90.00 90.00 90.00
Space group Fd-3m (No. 227, origin choice 2)
One atom of each set of equivalent atoms:
H: 0.125 0.125 0.125
W: 0.000 0.000 0.500

=====

Entry 4:
DFT (PBE-GGA) results for a geometry-optimized Ba2BMo structure.

Calculated values
**E_tot**: -3.818 eV per atom

abc: 7.515 7.515 7.515
angles: 90.00 90.00 90.00
Space group F-43m (No. 216)
One atom of each set of equivalent atoms:
Ba: 0.000 0.000 0.000
Ba: 0.250 0.250 0.250
B: 0.000 0.000 0.500
Mo: 0.250 0.250 0.750

=====

Entry 5:
DFT (PBE-GGA) results for a geometry-optimized ZrTlSnTe3 structure.

Calculated values
**E_tot**: -4.495 eV per atom

abc: 3.988 15.734 12.361
angles: 90.00 90.00 90.00
Space group Cmcm (No. 63)
One atom of each set of equivalent atoms:
Zr: 0.000 0.000 0.000
Tl: 0.000 0.301 0.250
Sn: 0.000 0.374 0.750
Te: 0.000 0.021 0.750
Te: 0.000 0.366 0.502

=====

Entry 6:
DFT (PBE-GGA) results for a geometry-optimized CdHg2Sb structure.

Calculated values
**E_tot**: -1.292 eV per atom

abc: 7.441 7.441 7.441
angles: 90.00 90.00 90.00
Space group F-43m (No. 216)
One atom of each set of equivalent atoms:
Cd: 0.000 0.000 0.000
Hg: 0.000 0.000 0.500
Hg: 0.250 0.250 0.250
Sb: 0.250 0.250 0.750